No. 1
Material: Dy4ZnBi
Method: DFT, PBE-GGA
State: relaxed

Results
DFT formation energy	-0.3537	eV/atom
energy above the lowest structure with this stoichiometry	0.0	meV per atom
space-group type	F-43m

```
24
Lattice="0.000 6.991 6.991 6.991 0.000 6.991 6.991 6.991 0.000" Properties=species:S:1:pos:R:3 pbc="T T T"
Dy 3.495 3.495 0.837
Dy 3.495 0.837 3.495
Dy 6.154 3.495 3.495
Dy 8.855 5.127 5.127
Dy 6.991 6.991 2.581
Dy 6.991 2.581 6.991
Dy 11.400 6.991 6.991
Dy 0.837 3.495 3.495
Dy 3.495 6.154 3.495
Dy 3.495 3.495 6.154
Dy 5.127 8.855 5.127
Dy 5.127 5.127 8.855
Dy 8.855 8.855 8.855
Dy 2.581 6.991 6.991
Dy 6.991 11.400 6.991
Dy 6.991 6.991 11.400
Zn 11.834 9.138 9.138
Zn 9.138 11.834 9.138
Zn 9.138 9.138 11.834
Zn 11.834 11.834 11.834
Bi 5.658 5.658 5.658
Bi 8.323 8.323 5.658
Bi 8.323 5.658 8.323
Bi 5.658 8.323 8.323
```

No. 2
Material: Dy3ZnBi
Method: DFT, PBE-GGA
State: relaxed

Results
DFT formation energy	-0.3455	eV/atom
space-group type	Pmmn

```
10
Lattice="4.222 0.000 0.000 0.000 7.128 0.000 0.000 0.000 9.682" Properties=species:S:1:pos:R:3 pbc="T T T"
Dy 1.055 0.096 1.581
Dy 1.055 1.782 5.736
Dy 1.055 3.468 1.581
Dy 3.166 3.660 8.101
Dy 3.166 5.346 3.946
Dy 3.166 7.032 8.101
Zn 1.055 1.782 8.760
Zn 3.166 5.346 0.922
Bi 1.055 5.346 6.290
Bi 3.166 1.782 3.392
```

No. 3
Material: DyZnBi2
Method: DFT, PBE-GGA
State: relaxed

Results
DFT formation energy	-0.3050	eV/atom
energy above the lowest structure with this stoichiometry	0.0	meV per atom
space-group type	P4/mmm

```
4
Lattice="4.882 0.000 0.000 0.000 4.882 0.000 0.000 0.000 4.445" Properties=species:S:1:pos:R:3 pbc="T T T"
Dy 0.000 0.000 0.000
Zn 2.441 2.441 0.000
Bi 0.000 2.441 2.222
Bi 2.441 0.000 2.222
```

No. 4
Material: DyZn2Bi
Method: DFT, PBE-GGA
State: relaxed

Results
DFT formation energy	-0.3071	eV/atom
space-group type	P4/mmm

```
4
Lattice="4.457 0.000 0.000 0.000 4.457 0.000 0.000 0.000 4.549" Properties=species:S:1:pos:R:3 pbc="T T T"
Dy 0.000 0.000 0.000
Zn 0.000 2.229 2.274
Zn 2.229 0.000 2.274
Bi 2.229 2.229 0.000
```

No. 5
Material: Dy5Zn2Bi
Method: DFT, PBE-GGA
State: relaxed

Results
DFT formation energy	-0.4078	eV/atom
space-group type	I4/mcm

```
16
Lattice="-4.100 4.100 6.387 4.100 -4.100 6.387 4.100 4.100 -6.387" Properties=species:S:1:pos:R:3 pbc="T T T"
Dy 0.000 0.000 0.000
Dy 5.342 1.242 -1.815
Dy 1.242 2.858 -1.815
Dy 5.342 1.242 1.815
Dy 1.242 2.858 1.815
Dy 0.000 0.000 6.387
Dy 2.858 1.242 4.572
Dy -1.242 2.858 4.572
Dy 2.858 1.242 8.202
Dy -1.242 2.858 8.202
Zn 2.937 1.163 0.000
Zn 2.937 -1.163 6.387
Zn 1.163 5.263 0.000
Zn 1.163 2.937 6.387
Bi 0.000 0.000 3.194
Bi 0.000 0.000 9.581
```

No. 6
Material: Dy2ZnBi
Method: DFT, PBE-GGA
State: relaxed

Results
DFT formation energy	-0.4585	eV/atom
energy above the lowest structure with this stoichiometry	71.3	meV per atom
space-group type	P4/mmm

```
4
Lattice="3.912 0.000 0.000 0.000 3.912 0.000 0.000 0.000 6.768" Properties=species:S:1:pos:R:3 pbc="T T T"
Dy 0.000 0.000 1.638
Dy 0.000 0.000 5.130
Zn 1.956 1.956 0.000
Bi 1.956 1.956 3.384
```

No. 7
Material: DyZrBi
Method: DFT, PBE-GGA
State: relaxed

Results
DFT formation energy	-0.0673	eV/atom
space-group type	P3m1

```
3
Lattice="5.320 0.000 0.000 -2.660 4.607 0.000 0.000 0.000 3.368" Properties=species:S:1:pos:R:3 pbc="T T T"
Dy 0.000 0.000 0.000
Zr 2.660 1.536 1.687
Bi 0.000 3.072 1.673
```

No. 8
Material: Dy5ZrBi4
Method: DFT, PBE-GGA
State: relaxed

Results
DFT formation energy	-0.3747	eV/atom
space-group type	C2/m

```
10
Lattice="9.409 -2.173 0.000 9.409 2.173 0.000 -2.470 0.000 7.944" Properties=species:S:1:pos:R:3 pbc="T T T"
Dy 0.000 0.000 0.000
Dy 5.533 0.000 1.214
Dy 4.579 0.000 5.631
Dy 11.769 0.000 2.313
Dy 10.815 0.000 6.730
Zr -1.235 0.000 3.972
Bi 1.706 0.000 4.482
Bi 8.561 0.000 1.956
Bi 7.787 0.000 5.988
Bi 14.642 0.000 3.462
```